## HgOsBr2 (PBE)

Data for an optimized crystal structure of HgOsBr2. Values from VASP.

Properties
Symmetry: No. 65
M_tot (μB per cell): 0.0
Calculated total energy (eV per atom): -2.4670
Calculated density (g/cm³): 11.01

The structure in Quantum ESPRESSO input format:
```
&SYSTEM
  ibrav = 0, nat = 4, ntyp = 3
/
ATOMIC_SPECIES
Br 79.90 Br.upf
Hg 200.59 Hg.upf
Os 190.23 Os.upf
ATOMIC_POSITIONS angstrom
Br 0.0000 0.0000 0.0000
Br -1.5202 -2.4435 1.1007
Hg -0.5945 -0.2348 2.9701
Os 1.4408 -2.6368 0.4488
CELL_PARAMETERS angstrom
-3.5555 -0.0416 3.6220
0.5150 -4.8455 -1.4206
2.3666 -0.4281 2.3182
```